This record from Alexandria describes a relaxed Cs12Pd5F3 crystal. The functional is PBE.

Computed properties:
Its magnetization is 0.000 μB/cell. The uncorrected formation energy is -10.47 eV per formula unit. Its crystal system is cubic. Its density of states at the Fermi level is 14.1 states/eV/f.u. The space group is No. 230.

Cell and atoms, written as POSCAR:
```
Cs12Pd5F3
1.0
17.0751 0.0000 0.0000
-5.6917 16.0985 0.0000
-5.6917 -8.0493 13.9417
F Pd Cs
12 20 48
Direct
0.7500 0.3750 0.1250
0.8750 0.7500 0.1250
0.3750 0.7500 0.6250
0.2500 0.1250 0.3750
0.8750 0.1250 0.2500
0.3750 0.6250 0.2500
0.6250 0.3750 0.7500
0.1250 0.8750 0.7500
0.7500 0.8750 0.6250
0.6250 0.2500 0.3750
0.1250 0.2500 0.8750
0.2500 0.6250 0.8750
0.1250 0.3750 0.2500
0.0000 0.5000 0.0000
0.0000 0.0000 0.0000
0.3750 0.2500 0.1250
0.5000 0.0000 0.5000
0.5000 0.5000 0.0000
0.1250 0.7500 0.3750
0.7500 0.1250 0.8750
0.7500 0.6250 0.3750
0.3750 0.1250 0.7500
0.6250 0.8750 0.2500
0.5000 0.5000 0.5000
0.5000 0.0000 0.0000
0.0000 0.0000 0.5000
0.2500 0.3750 0.6250
0.2500 0.8750 0.1250
0.0000 0.5000 0.5000
0.8750 0.2500 0.6250
0.6250 0.7500 0.8750
0.8750 0.6250 0.7500
0.7301 0.1242 0.0525
0.3224 0.5525 0.4283
0.9475 0.3758 0.2699
0.5525 0.2301 0.1242
0.6058 0.7301 0.6776
0.9475 0.5717 0.1776
0.3224 0.7699 0.3942
0.0717 0.8942 0.1242
0.5717 0.9475 0.6776
0.7301 0.6058 0.1776
0.7699 0.4475 0.3758
0.8224 0.9283 0.0525
0.1242 0.7301 0.5525
0.3758 0.4283 0.1058
0.1058 0.9283 0.3758
0.3942 0.1242 0.5717
0.1058 0.1776 0.2301
0.4475 0.6776 0.0717
0.8224 0.8942 0.2699
0.1242 0.3942 0.0717
0.3758 0.9475 0.7699
0.5717 0.6242 0.3942
0.9283 0.8224 0.5525
0.7699 0.3224 0.8942
0.4283 0.3758 0.6058
0.0717 0.1776 0.4475
0.2301 0.6776 0.1058
0.1776 0.1058 0.7301
0.6242 0.0525 0.2301
0.8758 0.6058 0.9283
0.5525 0.3224 0.9283
0.6058 0.8758 0.4283
0.8942 0.8224 0.7699
0.8942 0.0717 0.6242
0.8758 0.2699 0.4475
0.1776 0.0717 0.9475
0.6242 0.5717 0.8942
0.4283 0.0525 0.3224
0.2699 0.3942 0.8224
0.2301 0.5525 0.6242
0.9283 0.1058 0.8758
0.6776 0.2301 0.6058
0.4475 0.7699 0.8758
0.0525 0.4283 0.8224
0.3942 0.2699 0.3224
0.0525 0.6242 0.7301
0.6776 0.4475 0.5717
0.2699 0.8758 0.9475
```